Record 1
This record from Alexandria via LeMat-Bulk describes crystalline RbIn2S2 at its relaxed geometry. The functional is PBE-GGA.

The structure in CIF format:
```
data_RbIn2S2
_chemical_formula_sum 'Rb2 In4 S4'
_cell_length_a 5.242
_cell_length_b 5.242
_cell_length_c 10.123
_cell_angle_alpha 90.00
_cell_angle_beta 90.00
_cell_angle_gamma 90.00
_space_group_name_H-M_alt 'I 4/m m m'
_space_group_IT_number 139
_space_group_name_Hall '-I 4 2'
loop_
_atom_site_label
_atom_site_type_symbol
_atom_site_fract_x
_atom_site_fract_y
_atom_site_fract_z
Rb1 Rb 0.000 0.000 0.000
In1 In 0.000 0.000 0.348
S1 S 0.000 0.500 0.250
```

Properties
- energy relative to the elements, uncorrected (eV per atom) = -0.5863
- crystal system = tetragonal
- offset from the most stable computed form (meV/atom) = 0
- E (eV per atom) = -3.5261

***

Record 2
This record from Alexandria via LeMat-Bulk describes crystalline YCrIr2 at its relaxed geometry. The functional is PBE-GGA.

The structure in CIF format:
```
data_YCrIr2
_chemical_formula_sum 'Y1 Cr1 Ir2'
_cell_length_a 4.313
_cell_length_b 4.313
_cell_length_c 3.688
_cell_angle_alpha 90.00
_cell_angle_beta 90.00
_cell_angle_gamma 90.00
_space_group_name_H-M_alt 'P 4/m m m'
_space_group_IT_number 123
_space_group_name_Hall '-P 4 2'
loop_
_atom_site_label
_atom_site_type_symbol
_atom_site_fract_x
_atom_site_fract_y
_atom_site_fract_z
Y1 Y 0.000 0.000 0.000
Cr1 Cr 0.500 0.500 0.000
Ir1 Ir 0.000 0.500 0.500
```

Properties
- energy of formation from the pure elements (eV per atom) = -0.242
- crystal system = tetragonal
- offset from the most stable computed form (meV/atom) = 44
- E (eV per atom) = -8.6946

***

Record 3
This record from Alexandria via LeMat-Bulk describes crystalline In2CuO4 at its relaxed geometry. The functional is PBE-GGA.

The structure in CIF format:
```
data_In2CuO4
_chemical_formula_sum 'In4 Cu2 O8'
_cell_length_a 3.840
_cell_length_b 3.840
_cell_length_c 11.347
_cell_angle_alpha 90.00
_cell_angle_beta 90.00
_cell_angle_gamma 90.00
_space_group_name_H-M_alt 'I 4/m m m'
_space_group_IT_number 139
_space_group_name_Hall '-I 4 2'
loop_
_atom_site_label
_atom_site_type_symbol
_atom_site_fract_x
_atom_site_fract_y
_atom_site_fract_z
In1 In 0.000 0.000 0.154
Cu1 Cu 0.000 0.000 0.500
O1 O 0.000 0.500 0.000
O2 O 0.000 0.500 0.250
```

Properties
- energy relative to the elements, uncorrected (eV per atom) = -1.0536
- crystal system = tetragonal
- E (eV per atom) = -5.2545

***

Number 1: density 4.5 g cm⁻³. Number 2: density 12.7 g cm⁻³. Number 3: density 7.1 g cm⁻³.